This record from Alexandria describes a geometry-optimized ZnAg4W structure. The functional is GGA-PBE.

Lattice parameters (Å, degrees): 5.374 5.374 5.374 60.00 60.00 60.00
Last column: magnetic moment on the atom in μB.
Fractional coordinates of all 6 atoms:
Ag 0.625 0.125 0.625  0.02
Ag 0.625 0.625 0.125  0.02
Zn 0.000 0.000 0.000  -0.04
Ag 0.625 0.625 0.625  0.02
Ag 0.125 0.625 0.625  0.02
W 0.250 0.250 0.250  2.10

Symmetry: F-43m, No. 216
Formation energy in eV/atom: 0.798


This record from Alexandria describes a geometry-optimized ZnAg2W structure. The functional is GGA-PBE.

Lattice parameters (Å, degrees): 4.798 4.798 4.798 128.23 128.23 76.25
Last column: magnetic moment on the atom in μB.
Fractional coordinates of all 4 atoms:
Ag 0.250 0.750 0.500  0.08
Ag 0.000 0.000 0.000  0.03
Zn 0.750 0.250 0.500  0.02
W 0.500 0.500 0.000  1.11

Symmetry: I-4m2, No. 119
Formation energy in eV/atom: 0.728


This record from Alexandria describes a geometry-optimized Zn2AgW structure. The functional is GGA-PBE.

Lattice parameters (Å, degrees): 2.882 4.861 4.551 90.00 90.00 90.00
Fractional coordinates of all 4 atoms:
Ag 0.500 0.000 0.500
Zn 0.000 0.000 0.000
W 0.000 0.500 0.500
Zn 0.500 0.500 0.000

Symmetry: Pmmm, No. 47
Formation energy in eV/atom: 0.487
Energy above the lowest structure with this stoichiometry in eV/f.u.: 1.391


This record from Alexandria describes a geometry-optimized Zn2AgW structure. The functional is GGA-PBE.

Lattice parameters (Å, degrees): 9.247 9.247 9.247 17.63 17.63 17.63
Fractional coordinates of all 4 atoms:
Zn 0.499 0.499 0.499
W 0.750 0.750 0.750
Zn 0.001 0.001 0.001
Ag 0.250 0.250 0.250

Symmetry: R-3m, No. 166
Formation energy in eV/atom: 0.193
Energy above the lowest structure with this stoichiometry in eV/f.u.: 0.214


This record from Alexandria describes a geometry-optimized ZnAgW3 structure. The functional is GGA-PBE.

Lattice parameters (Å, degrees): 4.784 4.784 4.784 90.00 90.00 90.00
Fractional coordinates of all 5 atoms:
Zn 0.500 0.500 0.500
W 0.000 0.500 0.000
Ag 0.000 0.000 0.000
W 0.500 0.000 0.000
W 0.000 0.000 0.500

Symmetry: Pm-3m, No. 221
Formation energy in eV/atom: 2.866
Energy above the lowest structure with this stoichiometry in eV/f.u.: 4.229


This record from Alexandria describes a geometry-optimized Zn2AgW structure. The functional is GGA-PBE.

Lattice parameters (Å, degrees): 2.740 4.100 5.596 90.00 90.00 90.00
Fractional coordinates of all 4 atoms:
Ag 0.000 0.000 0.490
W 0.500 0.500 0.767
Zn 0.000 0.000 0.988
Zn 0.500 0.500 0.255

Symmetry: Pmm2, No. 25
Formation energy in eV/atom: 0.401
Energy above the lowest structure with this stoichiometry in eV/f.u.: 1.048


This record from Alexandria describes a geometry-optimized ZnAg3W structure. The functional is GGA-PBE.

Lattice parameters (Å, degrees): 4.732 4.732 4.732 90.00 90.00 90.00
Last column: magnetic moment on the atom in μB.
Fractional coordinates of all 5 atoms:
Ag 0.500 0.000 0.000  0.01
Ag 0.000 0.000 0.500  0.00
Ag 0.000 0.500 0.000  -0.02
W 0.500 0.500 0.500  2.77
Zn 0.000 0.000 0.000  -0.04

Symmetry: Pm-3m, No. 221
Formation energy in eV/atom: 1.396
Energy above the lowest structure with this stoichiometry in eV/f.u.: 0.000


This record from Alexandria describes a geometry-optimized ZnAg3W structure. The functional is GGA-PBE.

Lattice parameters (Å, degrees): 5.127 5.127 5.127 90.00 90.00 90.00
Fractional coordinates of all 5 atoms:
Zn 0.500 0.500 0.500
Ag 0.000 0.000 0.500
Ag 0.500 0.000 0.000
Ag 0.000 0.500 0.000
W 0.000 0.000 0.000

Symmetry: Pm-3m, No. 221
Formation energy in eV/atom: 1.740
Energy above the lowest structure with this stoichiometry in eV/f.u.: 1.720


This record from Alexandria describes a geometry-optimized ZnAg2W structure. The functional is GGA-PBE.

Lattice parameters (Å, degrees): 9.704 9.704 9.704 16.71 16.71 16.71
Fractional coordinates of all 4 atoms:
W 0.250 0.250 0.250
Ag 0.498 0.498 0.498
Ag 0.002 0.002 0.002
Zn 0.750 0.750 0.750

Symmetry: R-3m, No. 166
Formation energy in eV/atom: 0.321


This record from Alexandria describes a geometry-optimized Zn2AgW structure. The functional is GGA-PBE.

Lattice parameters (Å, degrees): 2.731 2.731 8.344 90.00 90.00 94.27
Fractional coordinates of all 4 atoms:
W 0.500 0.500 0.750
Ag 0.500 0.500 0.250
Zn 0.000 0.000 0.996
Zn 0.000 0.000 0.504

Symmetry: Cmmm, No. 65
Formation energy in eV/atom: 0.139
Energy above the lowest structure with this stoichiometry in eV/f.u.: 0.000


This record from Alexandria describes a geometry-optimized Zn2AgW structure. The functional is GGA-PBE.

Lattice parameters (Å, degrees): 4.620 4.620 2.902 90.00 90.00 90.00
Fractional coordinates of all 4 atoms:
Ag 0.500 0.000 0.500
Zn 0.500 0.500 0.000
Zn 0.000 0.000 0.000
W 0.000 0.500 0.500

Symmetry: P4/mmm, No. 123
Formation energy in eV/atom: 0.317
Energy above the lowest structure with this stoichiometry in eV/f.u.: 0.713


This record from Alexandria describes a geometry-optimized ZnAgW4 structure. The functional is GGA-PBE.

Lattice parameters (Å, degrees): 5.308 5.308 5.308 60.00 60.00 60.00
Fractional coordinates of all 6 atoms:
Ag 0.000 0.000 0.000
W 0.625 0.625 0.126
Zn 0.250 0.250 0.250
W 0.625 0.126 0.625
W 0.625 0.625 0.625
W 0.126 0.625 0.625

Symmetry: F-43m, No. 216
Formation energy in eV/atom: 0.790


Question: Number 12 is which compound?
Answer: ZnAgW4


Question: The lowest formation energy belongs to which entry?
Answer: number 10


Question: Which value of formation energy does entry 3 give?
Answer: 0.487 eV/atom